Record 1
First-principles (GGA-PBE) data for crystalline Ag2HgGeF8 at its relaxed geometry, as listed in the Alexandria database.

Properties
For the uncorrected formation energy, the calculation gives -1.735 eV/atom. For the density, the calculation gives 5.4 g cm⁻³. For the size of the total moment, the calculation gives 0.00 μB/atom.

Unit cell a=5.1385 b=7.3243 c=5.2672 alpha=90.00 beta=92.78 gamma=90.00
Closest atoms and distances in Å follow each position.
Space group P2/m (No. 10)
Asymmetric unit:
Ag 0.0000 0.2369 0.0000  6 F 2.45-2.52
Hg 0.5000 0.5000 0.5000  2 F 2.08
Ge 0.5000 0.0000 0.5000  6 F 1.83-1.85
F 0.2015 0.5000 0.2201  1 Hg 2.08
F 0.2222 0.0000 0.2681  1 Ge 1.83
F 0.3443 0.1813 0.6828  1 Ge 1.85



Record 2
First-principles (GGA-PBE) data for crystalline AgHgGeF6 at its relaxed geometry, as listed in the Alexandria database.

Properties
For the uncorrected formation energy, the calculation gives -1.777 eV/atom. The density of states at the Fermi level comes out at 3.047 states/eV/f.u. For the density, the calculation gives 5.4 g cm⁻³. For the size of the total moment, the calculation gives 0.05 μB/atom.

Unit cell a=5.9194 b=10.3644 c=4.9883 alpha=90.00 beta=90.28 gamma=90.00
Closest atoms and distances in Å follow each position.
Space group C2 (No. 5)
Asymmetric unit:
Ag 0.0000 0.0000 0.0000  6 F 2.48
Hg 0.0000 0.6647 0.5000  6 F 2.68-2.69
Ge 0.0000 0.3315 0.0000  6 F 1.84-1.85
F 0.1250 0.2040 0.7883  1 Ge 1.85
F 0.1275 0.4581 0.7895  1 Ge 1.84
F 0.2418 0.8326 0.7905  1 Ge 1.85



Record 3
First-principles (GGA-PBE) data for crystalline KAg2GeF8 at its relaxed geometry, as listed in the Alexandria database.

Properties
For the uncorrected formation energy, the calculation gives -1.966 eV/atom. The density of states at the Fermi level comes out at 0.826 states/eV/f.u. For the density, the calculation gives 4.0 g cm⁻³. For the size of the total moment, the calculation gives 0.09 μB/atom.

Unit cell a=4.9487 b=5.4300 c=7.4535 alpha=82.37 beta=85.48 gamma=88.90
Closest atoms and distances in Å follow each position.
Space group P-1 (No. 2)
Asymmetric unit:
K 0.0000 0.0000 0.0000  6 F 2.64-2.75
Ag 0.4328 0.4729 0.2428  4 F 2.17-2.41
Ge 0.0000 0.0000 0.5000  6 F 1.83-1.86
F 0.1338 0.7940 0.6873  1 Ge 1.83
F 0.1832 0.8287 0.3317  1 Ge 1.83
F 0.2877 0.2163 0.4936  1 Ge 1.86
F 0.4365 0.2721 0.9954  2 Ag 2.17-2.26



Record 4
First-principles (GGA-PBE) data for crystalline K2AgGeF8 at its relaxed geometry, as listed in the Alexandria database.

Properties
For the uncorrected formation energy, the calculation gives -2.303 eV/atom. For the density, the calculation gives 3.2 g cm⁻³. For the size of the total moment, the calculation gives 0.08 μB/atom.

Unit cell a=5.3642 b=5.4218 c=7.3946 alpha=89.97 beta=88.35 gamma=87.89
Closest atoms and distances in Å follow each position.
Space group P-1 (No. 2)
Asymmetric unit:
K 0.0385 0.0160 0.2356  6 F 2.60-2.75
Ag 0.5000 0.5000 0.5000  4 F 2.04-2.26
Ge 0.5000 0.5000 0.0000  6 F 1.81-1.90
F 0.2215 0.7657 0.5036  1 Ag 2.04
F 0.2231 0.6990 0.9885  1 Ge 1.81
F 0.3446 0.2607 0.8804  1 Ge 1.81
F 0.3822 0.3740 0.2257  1 Ge 1.90



Record 5
First-principles (GGA-PBE) data for crystalline LiAgGeF6 at its relaxed geometry, as listed in the Alexandria database.

Properties
For the uncorrected formation energy, the calculation gives -2.297 eV/atom. The density of states at the Fermi level comes out at 0.000 states/eV/f.u. For the density, the calculation gives 4.0 g cm⁻³. For the size of the total moment, the calculation gives 0.01 μB/atom.

Unit cell a=5.2190 b=5.2190 c=10.5223 alpha=90.00 beta=90.00 gamma=120.00
Closest atoms and distances in Å follow each position.
Space group P-31c (No. 163)
Asymmetric unit:
Li 0.3333 0.6667 0.2500  6 F 2.07
Ag 0.0000 0.0000 0.0000  6 F 2.51
Ge 0.3333 0.6667 0.7500  6 F 1.84
F 0.0326 0.3878 0.6512  1 Ge 1.84



Record 6
First-principles (GGA-PBE) data for crystalline Li2AgGeF8 at its relaxed geometry, as listed in the Alexandria database.

Properties
For the uncorrected formation energy, the calculation gives -2.293 eV/atom. The density of states at the Fermi level comes out at 1.256 states/eV/f.u. For the density, the calculation gives 3.9 g cm⁻³. For the size of the total moment, the calculation gives 0.08 μB/atom.

Unit cell a=4.6731 b=6.6638 c=4.6819 alpha=90.00 beta=90.92 gamma=90.00
Closest atoms and distances in Å follow each position.
Space group P2/m (No. 10)
Asymmetric unit:
Li 0.0000 0.2468 0.0000  6 F 2.05-2.23
Ag 0.5000 0.0000 0.5000  2 F 2.05
Ge 0.5000 0.5000 0.5000  6 F 1.82-1.85
F 0.1882 0.0000 0.1859  2 Li 2.05, 1 Ag 2.05
F 0.2248 0.5000 0.2213  1 Ge 1.82
F 0.3052 0.3014 0.6914  1 Ge 1.85



Copy entry 4 word for word.
First-principles (GGA-PBE) data for crystalline K2AgGeF8 at its relaxed geometry, as listed in the Alexandria database.

Properties
For the uncorrected formation energy, the calculation gives -2.303 eV/atom. For the density, the calculation gives 3.2 g cm⁻³. For the size of the total moment, the calculation gives 0.08 μB/atom.

Unit cell a=5.3642 b=5.4218 c=7.3946 alpha=89.97 beta=88.35 gamma=87.89
Closest atoms and distances in Å follow each position.
Space group P-1 (No. 2)
Asymmetric unit:
K 0.0385 0.0160 0.2356  6 F 2.60-2.75
Ag 0.5000 0.5000 0.5000  4 F 2.04-2.26
Ge 0.5000 0.5000 0.0000  6 F 1.81-1.90
F 0.2215 0.7657 0.5036  1 Ag 2.04
F 0.2231 0.6990 0.9885  1 Ge 1.81
F 0.3446 0.2607 0.8804  1 Ge 1.81
F 0.3822 0.3740 0.2257  1 Ge 1.90



Q: What is the size of the total moment in the sixth record?
A: 0.08 μB/atom